The following is a GGA-PBEsol calculation of a relaxed BaMn2Ni crystal, from the Alexandria database.

The calculation puts the distance to the lowest polymorph of the same formula at 0 meV/atom. The value obtained for the energy of formation from the pure elements is 0.3886 eV per atom. The total energy comes out at -6.569 eV/atom.

abc: 4.0682 4.0682 17.4516
angles: 90.00 90.00 120.00
Space group R3m (No. 160, hexagonal axes)
Unique sites:
Ba1 0.0000 0.0000 0.0000
Mn1 0.0000 0.0000 0.1840
Mn2 0.0000 0.0000 0.5077
Ni1 0.0000 0.0000 0.7983

---

The following is a GGA-PBEsol calculation of a relaxed BeFeAsCl2 crystal, from the Alexandria database.

The total energy comes out at -3.565 eV/atom. The energy relative to the elements, uncorrected is 0.852 eV/atom.

abc: 5.1709 5.1709 4.1301
angles: 90.00 90.00 90.00
Space group P4/mmm (No. 123)
Unique sites:
Be1 0.0000 0.0000 0.0000
Fe1 0.5000 0.5000 0.0000
As1 0.0000 0.0000 0.5000
Cl1 0.0000 0.5000 0.5000

---

The following is a GGA-PBEsol calculation of a relaxed Ti3IrCl crystal, from the Alexandria database.

The total energy comes out at -7.040 eV/atom. The energy relative to the elements, uncorrected is 0.319 eV/atom.

abc: 4.7878 4.7878 4.7878
angles: 90.00 90.00 90.00
Space group Pm-3m (No. 221)
Unique sites:
Ti1 0.0000 0.0000 0.5000
Ir1 0.0000 0.0000 0.0000
Cl1 0.5000 0.5000 0.5000

---

The following is a GGA-PBEsol calculation of a relaxed K2SrBr crystal, from the Alexandria database.

The calculation puts the distance to the lowest polymorph of the same formula at 0 meV/atom. The total energy comes out at -2.220 eV/atom. The energy relative to the elements, uncorrected is -0.726 eV/atom.

abc: 4.0078 4.0078 11.1883
angles: 90.00 90.00 90.00
Space group P4/mmm (No. 123)
Unique sites:
K1 0.0000 0.0000 0.1713
Sr1 0.5000 0.5000 0.5000
Br1 0.5000 0.5000 0.0000